# 1
# PBE BiIr2I, optimized geometry
# Uncorrected formation energy: 87.7 kJ/mol of atoms
# SG: Fm-3m, No. 225
# DFT total energy: -4.8796 eV/atom
# Calculated volume: 81 Å³ per cell
data_BiIr2I
_chemical_formula_sum 'Bi1 Ir2 I1'
_cell_length_a 4.859
_cell_length_b 4.859
_cell_length_c 4.859
_cell_angle_alpha 60.00
_cell_angle_beta 60.00
_cell_angle_gamma 60.00
_symmetry_space_group_name_H-M 'P 1'
_symmetry_Int_Tables_number 1
loop_
_symmetry_equiv_pos_as_xyz
'x,y,z'
loop_
_atom_site_label
_atom_site_type_symbol
_atom_site_fract_x
_atom_site_fract_y
_atom_site_fract_z
_atom_site_occupancy
I1 I 0.000 0.000 0.000 1
Ir1 Ir 0.250 0.250 0.250 1
Ir2 Ir 0.750 0.750 0.750 1
Bi1 Bi 0.500 0.500 0.500 1

# 2
# PBE BiIr3I, optimized geometry
# Uncorrected formation energy: 162.6 kJ/mol of atoms
# SG: Pm-3m, No. 221
# DFT total energy: -4.7174 eV/atom
# Calculated volume: 118 Å³ per cell
data_BiIr3I
_chemical_formula_sum 'Bi1 Ir3 I1'
_cell_length_a 4.905
_cell_length_b 4.905
_cell_length_c 4.905
_cell_angle_alpha 90.00
_cell_angle_beta 90.00
_cell_angle_gamma 90.00
_symmetry_space_group_name_H-M 'P 1'
_symmetry_Int_Tables_number 1
loop_
_symmetry_equiv_pos_as_xyz
'x,y,z'
loop_
_atom_site_label
_atom_site_type_symbol
_atom_site_fract_x
_atom_site_fract_y
_atom_site_fract_z
_atom_site_occupancy
I1 I 0.000 0.000 0.000 1
Ir1 Ir 0.000 0.500 0.000 1
Ir2 Ir 0.000 0.000 0.500 1
Ir3 Ir 0.500 0.000 0.000 1
Bi1 Bi 0.500 0.500 0.500 1

# 3
# PBE BiIr3I, optimized geometry
# Uncorrected formation energy: 202.0 kJ/mol of atoms
# SG: Pm-3m, No. 221
# DFT total energy: -4.3091 eV/atom
# Calculated volume: 130 Å³ per cell
data_BiIr3I
_chemical_formula_sum 'Bi1 Ir3 I1'
_cell_length_a 5.064
_cell_length_b 5.064
_cell_length_c 5.064
_cell_angle_alpha 90.00
_cell_angle_beta 90.00
_cell_angle_gamma 90.00
_symmetry_space_group_name_H-M 'P 1'
_symmetry_Int_Tables_number 1
loop_
_symmetry_equiv_pos_as_xyz
'x,y,z'
loop_
_atom_site_label
_atom_site_type_symbol
_atom_site_fract_x
_atom_site_fract_y
_atom_site_fract_z
_atom_site_occupancy
I1 I 0.500 0.500 0.500 1
Ir1 Ir 0.000 0.500 0.000 1
Ir2 Ir 0.000 0.000 0.500 1
Ir3 Ir 0.500 0.000 0.000 1
Bi1 Bi 0.000 0.000 0.000 1

# 4
# PBE BiIr2I, optimized geometry
# Uncorrected formation energy: 75.8 kJ/mol of atoms
# SG: I-42d, No. 122
# DFT total energy: -5.0031 eV/atom
# Calculated volume: 213 Å³ per cell
data_BiIr2I
_chemical_formula_sum 'Bi2 Ir4 I2'
_cell_length_a 5.470
_cell_length_b 5.470
_cell_length_c 8.094
_cell_angle_alpha 70.25
_cell_angle_beta 70.25
_cell_angle_gamma 90.00
_symmetry_space_group_name_H-M 'P 1'
_symmetry_Int_Tables_number 1
loop_
_symmetry_equiv_pos_as_xyz
'x,y,z'
loop_
_atom_site_label
_atom_site_type_symbol
_atom_site_fract_x
_atom_site_fract_y
_atom_site_fract_z
_atom_site_occupancy
I1 I 0.500 0.500 0.000 1
I2 I 0.250 0.750 0.500 1
Ir1 Ir 0.592 0.125 0.250 1
Ir2 Ir 0.158 0.625 0.250 1
Ir3 Ir 0.375 0.408 0.750 1
Ir4 Ir 0.875 0.842 0.750 1
Bi1 Bi 0.000 0.000 0.000 1
Bi2 Bi 0.750 0.250 0.500 1

# 5
# PBE BiIrI, optimized geometry
# Uncorrected formation energy: 13.5 kJ/mol of atoms
# SG: P2_1/c, No. 14
# DFT total energy: -4.6240 eV/atom
# Calculated volume: 329 Å³ per cell
data_BiIrI
_chemical_formula_sum 'Bi4 Ir4 I4'
_cell_length_a 6.662
_cell_length_b 7.291
_cell_length_c 7.100
_cell_angle_alpha 107.58
_cell_angle_beta 90.00
_cell_angle_gamma 90.00
_symmetry_space_group_name_H-M 'P 1'
_symmetry_Int_Tables_number 1
loop_
_symmetry_equiv_pos_as_xyz
'x,y,z'
loop_
_atom_site_label
_atom_site_type_symbol
_atom_site_fract_x
_atom_site_fract_y
_atom_site_fract_z
_atom_site_occupancy
I1 I 0.356 0.869 0.636 1
I2 I 0.644 0.131 0.364 1
I3 I 0.144 0.869 0.136 1
I4 I 0.856 0.131 0.864 1
Bi1 Bi 0.364 0.375 0.133 1
Bi2 Bi 0.636 0.625 0.867 1
Bi3 Bi 0.864 0.625 0.367 1
Bi4 Bi 0.136 0.375 0.633 1
Ir1 Ir 0.993 0.742 0.751 1
Ir2 Ir 0.507 0.742 0.251 1
Ir3 Ir 0.007 0.258 0.249 1
Ir4 Ir 0.493 0.258 0.749 1

# 6
# PBE Bi2IrI, optimized geometry
# Uncorrected formation energy: -2.9 kJ/mol of atoms
# SG: R-3m, No. 166
# DFT total energy: -4.5736 eV/atom
# Calculated volume: 118 Å³ per cell
data_Bi2IrI
_chemical_formula_sum 'Bi2 Ir1 I1'
_cell_length_a 4.062
_cell_length_b 4.062
_cell_length_c 8.566
_cell_angle_alpha 76.28
_cell_angle_beta 76.28
_cell_angle_gamma 60.00
_symmetry_space_group_name_H-M 'P 1'
_symmetry_Int_Tables_number 1
loop_
_symmetry_equiv_pos_as_xyz
'x,y,z'
loop_
_atom_site_label
_atom_site_type_symbol
_atom_site_fract_x
_atom_site_fract_y
_atom_site_fract_z
_atom_site_occupancy
I1 I 0.500 0.500 0.500 1
Ir1 Ir 0.000 0.000 0.000 1
Bi1 Bi 0.273 0.273 0.181 1
Bi2 Bi 0.727 0.727 0.819 1

# 7
# PBE Bi6IrI2, optimized geometry
# Uncorrected formation energy: 2.2 kJ/mol of atoms
# SG: C2/m, No. 12
# DFT total energy: -3.8936 eV/atom
# Calculated volume: 314 Å³ per cell
data_Bi6IrI2
_chemical_formula_sum 'Bi6 Ir1 I2'
_cell_length_a 4.105
_cell_length_b 9.485
_cell_length_c 9.587
_cell_angle_alpha 119.65
_cell_angle_beta 102.35
_cell_angle_gamma 90.00
_symmetry_space_group_name_H-M 'P 1'
_symmetry_Int_Tables_number 1
loop_
_symmetry_equiv_pos_as_xyz
'x,y,z'
loop_
_atom_site_label
_atom_site_type_symbol
_atom_site_fract_x
_atom_site_fract_y
_atom_site_fract_z
_atom_site_occupancy
Bi1 Bi 0.846 0.685 0.691 1
Bi2 Bi 0.154 0.994 0.309 1
Bi3 Bi 0.154 0.315 0.309 1
Bi4 Bi 0.500 0.790 0.000 1
Bi5 Bi 0.846 0.006 0.691 1
Bi6 Bi 0.500 0.210 0.000 1
Ir1 Ir 0.000 0.000 0.000 1
I1 I 0.873 0.371 0.743 1
I2 I 0.127 0.629 0.257 1

# 8
# PBE Bi9Ir2I3, optimized geometry
# Uncorrected formation energy: -15.6 kJ/mol of atoms
# SG: Pnma, No. 62
# DFT total energy: -4.2547 eV/atom
# Calculated volume: 3929 Å³ per cell
data_Bi9Ir2I3
_chemical_formula_sum 'Bi72 Ir16 I24'
_cell_length_a 9.776
_cell_length_b 14.054
_cell_length_c 28.598
_cell_angle_alpha 90.00
_cell_angle_beta 90.00
_cell_angle_gamma 90.00
_symmetry_space_group_name_H-M 'P 1'
_symmetry_Int_Tables_number 1
loop_
_symmetry_equiv_pos_as_xyz
'x,y,z'
loop_
_atom_site_label
_atom_site_type_symbol
_atom_site_fract_x
_atom_site_fract_y
_atom_site_fract_z
_atom_site_occupancy
Bi1 Bi 0.247 0.965 0.954 1
Bi2 Bi 0.984 0.468 0.413 1
Bi3 Bi 0.506 0.250 0.086 1
Bi4 Bi 0.651 0.967 0.210 1
Bi5 Bi 0.121 0.250 0.828 1
Bi6 Bi 0.897 0.636 0.323 1
Bi7 Bi 0.379 0.250 0.328 1
Bi8 Bi 0.997 0.636 0.083 1
Bi9 Bi 0.914 0.037 0.165 1
Bi10 Bi 0.327 0.750 0.793 1
Bi11 Bi 0.516 0.032 0.913 1
Bi12 Bi 0.006 0.750 0.414 1
Bi13 Bi 0.276 0.250 0.950 1
Bi14 Bi 0.166 0.750 0.894 1
Bi15 Bi 0.253 0.965 0.454 1
Bi16 Bi 0.651 0.533 0.210 1
Bi17 Bi 0.516 0.468 0.913 1
Bi18 Bi 0.776 0.750 0.550 1
Bi19 Bi 0.003 0.136 0.917 1
Bi20 Bi 0.827 0.250 0.707 1
Bi21 Bi 0.553 0.750 0.149 1
Bi22 Bi 0.994 0.250 0.586 1
Bi23 Bi 0.397 0.364 0.177 1
Bi24 Bi 0.586 0.037 0.665 1
Bi25 Bi 0.666 0.250 0.606 1
Bi26 Bi 0.103 0.136 0.677 1
Bi27 Bi 0.484 0.532 0.087 1
Bi28 Bi 0.834 0.250 0.106 1
Bi29 Bi 0.586 0.463 0.665 1
Bi30 Bi 0.016 0.968 0.587 1
Bi31 Bi 0.253 0.535 0.454 1
Bi32 Bi 0.849 0.967 0.710 1
Bi33 Bi 0.997 0.864 0.083 1
Bi34 Bi 0.349 0.033 0.790 1
Bi35 Bi 0.497 0.364 0.417 1
Bi36 Bi 0.247 0.535 0.954 1
Bi37 Bi 0.151 0.467 0.290 1
Bi38 Bi 0.334 0.750 0.394 1
Bi39 Bi 0.349 0.467 0.790 1
Bi40 Bi 0.224 0.250 0.450 1
Bi41 Bi 0.879 0.750 0.172 1
Bi42 Bi 0.414 0.963 0.335 1
Bi43 Bi 0.053 0.250 0.351 1
Bi44 Bi 0.414 0.537 0.335 1
Bi45 Bi 0.747 0.035 0.546 1
Bi46 Bi 0.503 0.864 0.583 1
Bi47 Bi 0.103 0.364 0.677 1
Bi48 Bi 0.947 0.750 0.649 1
Bi49 Bi 0.484 0.968 0.087 1
Bi50 Bi 0.724 0.750 0.050 1
Bi51 Bi 0.747 0.465 0.546 1
Bi52 Bi 0.151 0.033 0.290 1
Bi53 Bi 0.673 0.250 0.207 1
Bi54 Bi 0.016 0.532 0.587 1
Bi55 Bi 0.173 0.750 0.293 1
Bi56 Bi 0.984 0.032 0.413 1
Bi57 Bi 0.003 0.364 0.917 1
Bi58 Bi 0.086 0.963 0.835 1
Bi59 Bi 0.753 0.465 0.046 1
Bi60 Bi 0.753 0.035 0.046 1
Bi61 Bi 0.849 0.533 0.710 1
Bi62 Bi 0.497 0.136 0.417 1
Bi63 Bi 0.914 0.463 0.165 1
Bi64 Bi 0.603 0.636 0.823 1
Bi65 Bi 0.086 0.537 0.835 1
Bi66 Bi 0.603 0.864 0.823 1
Bi67 Bi 0.494 0.750 0.914 1
Bi68 Bi 0.397 0.136 0.177 1
Bi69 Bi 0.503 0.636 0.583 1
Bi70 Bi 0.621 0.750 0.672 1
Bi71 Bi 0.897 0.864 0.323 1
Bi72 Bi 0.447 0.250 0.851 1
Ir1 Ir 0.653 0.399 0.136 1
Ir2 Ir 0.263 0.100 0.879 1
Ir3 Ir 0.263 0.400 0.879 1
Ir4 Ir 0.237 0.400 0.379 1
Ir5 Ir 0.737 0.600 0.121 1
Ir6 Ir 0.153 0.601 0.364 1
Ir7 Ir 0.847 0.399 0.636 1
Ir8 Ir 0.237 0.100 0.379 1
Ir9 Ir 0.847 0.101 0.636 1
Ir10 Ir 0.153 0.899 0.364 1
Ir11 Ir 0.737 0.900 0.121 1
Ir12 Ir 0.763 0.600 0.621 1
Ir13 Ir 0.653 0.101 0.136 1
Ir14 Ir 0.347 0.899 0.864 1
Ir15 Ir 0.347 0.601 0.864 1
Ir16 Ir 0.763 0.900 0.621 1
I1 I 0.329 0.401 0.555 1
I2 I 0.778 0.399 0.818 1
I3 I 0.544 0.750 0.276 1
I4 I 0.660 0.250 0.974 1
I5 I 0.160 0.750 0.526 1
I6 I 0.829 0.599 0.945 1
I7 I 0.840 0.250 0.474 1
I8 I 0.044 0.250 0.224 1
I9 I 0.329 0.099 0.555 1
I10 I 0.778 0.101 0.818 1
I11 I 0.171 0.099 0.055 1
I12 I 0.722 0.399 0.318 1
I13 I 0.671 0.901 0.445 1
I14 I 0.171 0.401 0.055 1
I15 I 0.340 0.750 0.026 1
I16 I 0.829 0.901 0.945 1
I17 I 0.278 0.899 0.682 1
I18 I 0.222 0.601 0.182 1
I19 I 0.722 0.101 0.318 1
I20 I 0.456 0.250 0.724 1
I21 I 0.671 0.599 0.445 1
I22 I 0.956 0.750 0.776 1
I23 I 0.222 0.899 0.182 1
I24 I 0.278 0.601 0.682 1